Entry from Alexandria: crystalline Pr2Dy5Tm2 at its relaxed geometry (PBE).

```
Pr2Dy5Tm2
1.0
-2.160 -2.150 -1.696
6.265 -2.713 -4.539
-1.827 -4.481 11.592
Pr Dy Tm
2 5 2
direct
0.820 0.784 0.641
0.180 0.216 0.359
0.690 0.848 0.381
0.310 0.152 0.619
0.906 0.544 0.812
0.094 0.456 0.188
0.000 0.000 0.000
0.547 0.738 0.094
0.453 0.262 0.906
```

Computed properties:
Symmetry: C2/m, No. 12
Spin magnetization (μB/atom): 0.0000
ΔH_f (0 K) (eV/atom): 0.222

***

Entry from Alexandria: crystalline KNaMo2 at its relaxed geometry (PBE).

```
KNaMo2
1.0
4.818 2.627 0.270
0.624 4.248 3.427
3.162 -0.513 4.464
Na Mo K
1 2 1
direct
0.000 0.000 0.000
0.250 0.250 0.250
0.750 0.750 0.750
0.500 0.500 0.500
```

Computed properties:
Symmetry: Fm-3m, No. 225
Spin magnetization (μB/atom): 2.2203
ΔH_f (0 K) (eV/atom): 2.236

***

Question: Among the records above, which one has the lowest spin magnetization?
Answer: Pr2Dy5Tm2

***

Question: Which of these has the lowest spin magnetization?
Answer: Pr2Dy5Tm2